Below is NaInAg2Cl after structural relaxation, with properties calculated at the PBEsol level.

Cell: 5.065 5.065 6.537 Å, 90.00 90.00 90.00°
Element x y z (fractional)
Na  0.000  0.000  0.500
Cl  0.500  0.500  0.500
Ag  0.000  0.500  0.000
Ag  0.500  0.000  0.000
In  0.000  0.000  0.000

total DFT energy (no corrections): -11.822 eV for the cell shown
space group: No. 123
V: 167.7 Å³ per cell
magnetization: 0.00 μB/f.u.